Entry 1:
# PSe2BrN

Crystalline PSe2BrN at its relaxed geometry (PBEsol, the Alexandria database).

Unit cell a=5.241 b=5.241 c=3.183 alpha=90.00 beta=90.00 gamma=90.00
Element x y z (fractional)
1 P 0.000 0.000 0.000
2 Se 0.000 0.500 0.000
3 Se 0.500 0.000 0.000
4 Br 0.500 0.500 0.500
5 N 0.000 0.000 0.500

The formation energy without anion corrections is 0.589 eV per atom. The calculation puts the total energy at -20.9 eV/f.u. Its crystal system is tetragonal.

Entry 2:
# PSeBr2N

Crystalline PSeBr2N at its relaxed geometry (PBEsol, the Alexandria database).

Unit cell a=4.318 b=4.318 c=4.850 alpha=90.00 beta=90.00 gamma=90.00
Element x y z (fractional)
1 P 0.000 0.000 0.000
2 Se 0.500 0.500 0.000
3 Br 0.000 0.500 0.500
4 Br 0.500 0.000 0.500
5 N 0.500 0.500 0.500

The formation energy without anion corrections is 1.214 eV per atom. The calculation puts the total energy at -15.8 eV/f.u. Its crystal system is tetragonal.

Entry 3:
# SnPBr2N

Crystalline SnPBr2N at its relaxed geometry (PBEsol, the Alexandria database).

Unit cell a=5.585 b=5.585 c=3.349 alpha=90.00 beta=90.00 gamma=90.00
Element x y z (fractional)
1 Sn 0.000 0.000 0.000
2 P 0.500 0.500 0.500
3 Br 0.000 0.500 0.500
4 Br 0.500 0.000 0.500
5 N 0.500 0.500 0.000

The formation energy without anion corrections is 0.173 eV per atom. The calculation puts the total energy at -21.5 eV/f.u. Its crystal system is tetragonal.

Entry 4:
# Sn2PBrN

Crystalline Sn2PBrN at its relaxed geometry (PBEsol, the Alexandria database).

Unit cell a=5.175 b=5.175 c=5.023 alpha=90.00 beta=90.00 gamma=90.00
Element x y z (fractional)
1 Sn 0.000 0.500 0.000
2 Sn 0.500 0.000 0.000
3 P 0.000 0.000 0.000
4 Br 0.000 0.000 0.500
5 N 0.500 0.500 0.500

The formation energy without anion corrections is 1.315 eV per atom. The calculation puts the total energy at -18.1 eV/f.u. Its crystal system is tetragonal.

Entry 5:
# PbBr3N

Crystalline PbBr3N at its relaxed geometry (PBEsol, the Alexandria database).

Unit cell a=5.596 b=5.596 c=5.596 alpha=90.00 beta=90.00 gamma=90.00
Element x y z (fractional)
1 Pb 0.000 0.000 0.000
2 Br 0.000 0.000 0.500
3 Br 0.000 0.500 0.000
4 Br 0.500 0.000 0.000
5 N 0.500 0.500 0.500

The formation energy without anion corrections is 0.710 eV per atom. The calculation puts the total energy at -14.6 eV/f.u. Its crystal system is cubic.

Entry 6:
# PbBr2N

Crystalline PbBr2N at its relaxed geometry (PBEsol, the Alexandria database).

Unit cell a=5.154 b=5.154 c=5.154 alpha=60.00 beta=60.00 gamma=60.00
Element x y z (fractional)
1 Pb 0.000 0.000 0.000
2 Br 0.250 0.250 0.250
3 Br 0.750 0.750 0.750
4 N 0.500 0.500 0.500

The formation energy without anion corrections is 0.651 eV per atom. The calculation puts the total energy at -13.7 eV/f.u. Its crystal system is cubic.

Entry 7:
# PbBr2N2

Crystalline PbBr2N2 at its relaxed geometry (PBEsol, the Alexandria database).

Unit cell a=5.297 b=5.297 c=5.297 alpha=117.44 beta=117.44 gamma=94.50
Element x y z (fractional)
1 Pb 0.000 0.000 0.000
2 Br 0.250 0.750 0.500
3 Br 0.750 0.250 0.500
4 N 0.422 0.422 0.000
5 N 0.578 0.578 0.000

The formation energy without anion corrections is -0.376 eV per atom. The calculation puts the total energy at -26.7 eV/f.u. Its crystal system is tetragonal.

Entry 8:
# Pb2BrN

Crystalline Pb2BrN at its relaxed geometry (PBEsol, the Alexandria database).

Unit cell a=4.978 b=4.978 c=4.978 alpha=60.00 beta=60.00 gamma=60.00
Element x y z (fractional)
1 Pb 0.250 0.250 0.250
2 Pb 0.750 0.750 0.750
3 Br 0.000 0.000 0.000
4 N 0.500 0.500 0.500

The formation energy without anion corrections is 0.649 eV per atom. The calculation puts the total energy at -15.8 eV/f.u. Its crystal system is cubic.

Entry 9:
# PbS2BrN

Crystalline PbS2BrN at its relaxed geometry (PBEsol, the Alexandria database).

Unit cell a=5.239 b=5.239 c=4.463 alpha=90.00 beta=90.00 gamma=90.00
Element x y z (fractional)
1 Pb 0.000 0.000 0.000
2 S 0.000 0.500 0.000
3 S 0.500 0.000 0.000
4 Br 0.500 0.500 0.500
5 N 0.000 0.000 0.500

The formation energy without anion corrections is 1.302 eV per atom. The calculation puts the total energy at -16.7 eV/f.u. Its crystal system is tetragonal.

Entry 10:
# PbSe2BrN

Crystalline PbSe2BrN at its relaxed geometry (PBEsol, the Alexandria database).

Unit cell a=5.331 b=5.331 c=3.816 alpha=90.00 beta=90.00 gamma=90.00
Element x y z (fractional)
1 Pb 0.000 0.000 0.000
2 Se 0.000 0.500 0.500
3 Se 0.500 0.000 0.500
4 Br 0.500 0.500 0.500
5 N 0.500 0.500 0.000

For the offset from the most stable computed form, the calculation gives 0.00 eV/f.u. The formation energy without anion corrections is 0.972 eV per atom. The calculation puts the total energy at -17.2 eV/f.u. Its crystal system is tetragonal.

Entry 11:
# PbSe2BrN

Crystalline PbSe2BrN at its relaxed geometry (PBEsol, the Alexandria database).

Unit cell a=5.472 b=5.472 c=5.736 alpha=90.00 beta=90.00 gamma=90.00
Element x y z (fractional)
1 Pb 0.000 0.000 0.000
2 Se 0.000 0.500 0.000
3 Se 0.500 0.000 0.000
4 Br 0.000 0.000 0.500
5 N 0.500 0.500 0.500

For the offset from the most stable computed form, the calculation gives 2.00 eV/f.u. The formation energy without anion corrections is 1.372 eV per atom. The calculation puts the total energy at -15.2 eV/f.u. Its crystal system is tetragonal.

Entry 12:
# YPdBrN2

Crystalline YPdBrN2 at its relaxed geometry (PBEsol, the Alexandria database).

Unit cell a=4.372 b=4.372 c=5.559 alpha=90.00 beta=90.00 gamma=90.00
Element x y z (fractional)
1 Y 0.000 0.000 0.000
2 Pd 0.500 0.500 0.500
3 Br 0.000 0.000 0.500
4 N 0.000 0.500 0.000
5 N 0.500 0.000 0.000

The formation energy without anion corrections is 0.852 eV per atom. The calculation puts the total energy at -27.4 eV/f.u. Its crystal system is tetragonal.

Question: Among the records above, which one has the lowest formation energy without anion corrections?
Answer: PbBr2N2